Compound: KSmS2
Source: Alexandria
Functional: PBE
Structure: optimized geometry

Values from the calculation:
E_tot (eV/atom): -5.3551

a b c (Å): 4.119 4.119 7.922
angles (deg): 74.93 74.93 60.00
Fractional coordinates of all 4 atoms:
Sm1 0.667 0.667 0.998
S1 0.266 0.266 0.201
S2 0.069 0.069 0.794
K1 0.498 0.498 0.507